# 1
Compound: Al2TcTe
Source: Alexandria via LeMat-Bulk
Functional: PBE
Structure: relaxed

## Properties
The total energy comes out at -0.1882 hartree per atom. The density comes out at 6.65 g cm⁻³.

Cell and atoms, written as CIF:
```
data_Al2TcTe
_chemical_formula_sum 'Al2 Tc1 Te1'
_symmetry_space_group_name_H-M 'P 1'
_symmetry_Int_Tables_number 1
_cell_length_a 5.210
_cell_length_b 5.210
_cell_length_c 5.210
_cell_angle_alpha 141.76
_cell_angle_beta 125.94
_cell_angle_gamma 68.14
loop_
_symmetry_equiv_pos_as_xyz
'x,y,z'
loop_
_atom_site_label
_atom_site_type_symbol
_atom_site_fract_x
_atom_site_fract_y
_atom_site_fract_z
Al1 Al 0.486 0.486 0.000
Al2 Al 0.014 0.014 0.000
Te1 Te 0.750 0.250 0.500
Tc1 Tc 0.250 0.750 0.500
```



# 2
Compound: AlTcTe3
Source: Alexandria via LeMat-Bulk
Functional: PBE
Structure: relaxed

## Properties
The total energy comes out at -0.1314 hartree per atom. The density comes out at 6.19 g cm⁻³.

Cell and atoms, written as CIF:
```
data_AlTcTe3
_chemical_formula_sum 'Al1 Tc1 Te3'
_symmetry_space_group_name_H-M 'P 1'
_symmetry_Int_Tables_number 1
_cell_length_a 5.145
_cell_length_b 5.145
_cell_length_c 5.145
_cell_angle_alpha 90.00
_cell_angle_beta 90.00
_cell_angle_gamma 90.00
loop_
_symmetry_equiv_pos_as_xyz
'x,y,z'
loop_
_atom_site_label
_atom_site_type_symbol
_atom_site_fract_x
_atom_site_fract_y
_atom_site_fract_z
Al1 Al 0.000 0.000 0.000
Te1 Te 0.000 0.500 0.000
Te2 Te 0.000 0.000 0.500
Te3 Te 0.500 0.000 0.000
Tc1 Tc 0.500 0.500 0.500
```



# 3
Compound: Al2Tc2Te
Source: Alexandria via LeMat-Bulk
Functional: PBE
Structure: relaxed

## Properties
The total energy comes out at -0.2298 hartree per atom. The density comes out at 7.51 g cm⁻³.

Cell and atoms, written as CIF:
```
data_Al2Tc2Te
_chemical_formula_sum 'Al4 Tc4 Te2'
_symmetry_space_group_name_H-M 'P 1'
_symmetry_Int_Tables_number 1
_cell_length_a 7.059
_cell_length_b 7.059
_cell_length_c 3.351
_cell_angle_alpha 90.00
_cell_angle_beta 90.00
_cell_angle_gamma 90.00
loop_
_symmetry_equiv_pos_as_xyz
'x,y,z'
loop_
_atom_site_label
_atom_site_type_symbol
_atom_site_fract_x
_atom_site_fract_y
_atom_site_fract_z
Tc1 Tc 0.157 0.343 0.000
Tc2 Tc 0.843 0.657 0.000
Tc3 Tc 0.657 0.157 0.000
Tc4 Tc 0.343 0.843 0.000
Te1 Te 0.000 0.000 0.000
Te2 Te 0.500 0.500 0.000
Al1 Al 0.364 0.136 0.500
Al2 Al 0.136 0.636 0.500
Al3 Al 0.636 0.864 0.500
Al4 Al 0.864 0.364 0.500
```



# 4
Compound: Al2TcTe
Source: Alexandria via LeMat-Bulk
Functional: PBE
Structure: relaxed

## Properties
The total energy comes out at -0.1890 hartree per atom. The density comes out at 6.39 g cm⁻³.

Cell and atoms, written as CIF:
```
data_Al2TcTe
_chemical_formula_sum 'Al2 Tc1 Te1'
_symmetry_space_group_name_H-M 'P 1'
_symmetry_Int_Tables_number 1
_cell_length_a 4.757
_cell_length_b 4.757
_cell_length_c 5.013
_cell_angle_alpha 75.27
_cell_angle_beta 75.27
_cell_angle_gamma 41.77
loop_
_symmetry_equiv_pos_as_xyz
'x,y,z'
loop_
_atom_site_label
_atom_site_type_symbol
_atom_site_fract_x
_atom_site_fract_y
_atom_site_fract_z
Al1 Al 0.020 0.020 0.937
Al2 Al 0.480 0.480 0.563
Te1 Te 0.250 0.250 0.250
Tc1 Tc 0.750 0.750 0.750
```



# 5
Compound: Al2TcTe
Source: Alexandria via LeMat-Bulk
Functional: PBE
Structure: relaxed

## Properties
The total energy comes out at -0.1799 hartree per atom. The density comes out at 6.64 g cm⁻³.

Cell and atoms, written as CIF:
```
data_Al2TcTe
_chemical_formula_sum 'Al2 Tc1 Te1'
_symmetry_space_group_name_H-M 'P 1'
_symmetry_Int_Tables_number 1
_cell_length_a 4.292
_cell_length_b 4.034
_cell_length_c 4.034
_cell_angle_alpha 90.00
_cell_angle_beta 90.00
_cell_angle_gamma 90.00
loop_
_symmetry_equiv_pos_as_xyz
'x,y,z'
loop_
_atom_site_label
_atom_site_type_symbol
_atom_site_fract_x
_atom_site_fract_y
_atom_site_fract_z
Tc1 Tc 0.500 0.500 0.000
Al1 Al 0.000 0.500 0.500
Al2 Al 0.000 0.000 0.000
Te1 Te 0.500 0.000 0.500
```



# 6
Compound: AlTc3Te
Source: Alexandria via LeMat-Bulk
Functional: PBE
Structure: relaxed

## Properties
The total energy comes out at -0.2336 hartree per atom. The density comes out at 8.00 g cm⁻³.

Cell and atoms, written as CIF:
```
data_AlTc3Te
_chemical_formula_sum 'Al1 Tc3 Te1'
_symmetry_space_group_name_H-M 'P 1'
_symmetry_Int_Tables_number 1
_cell_length_a 4.532
_cell_length_b 4.532
_cell_length_c 4.532
_cell_angle_alpha 90.00
_cell_angle_beta 90.00
_cell_angle_gamma 90.00
loop_
_symmetry_equiv_pos_as_xyz
'x,y,z'
loop_
_atom_site_label
_atom_site_type_symbol
_atom_site_fract_x
_atom_site_fract_y
_atom_site_fract_z
Tc1 Tc 0.000 0.000 0.500
Tc2 Tc 0.500 0.000 0.000
Tc3 Tc 0.000 0.500 0.000
Te1 Te 0.500 0.500 0.500
Al1 Al 0.000 0.000 0.000
```



# 7
Compound: Al2TcTe
Source: Alexandria via LeMat-Bulk
Functional: PBE
Structure: relaxed

## Properties
The total energy comes out at -0.1939 hartree per atom. The density comes out at 6.62 g cm⁻³.

Cell and atoms, written as CIF:
```
data_Al2TcTe
_chemical_formula_sum 'Al2 Tc1 Te1'
_symmetry_space_group_name_H-M 'P 1'
_symmetry_Int_Tables_number 1
_cell_length_a 3.362
_cell_length_b 3.361
_cell_length_c 6.209
_cell_angle_alpha 90.00
_cell_angle_beta 90.00
_cell_angle_gamma 90.00
loop_
_symmetry_equiv_pos_as_xyz
'x,y,z'
loop_
_atom_site_label
_atom_site_type_symbol
_atom_site_fract_x
_atom_site_fract_y
_atom_site_fract_z
Tc1 Tc 0.500 0.500 0.250
Al1 Al 0.000 0.000 0.455
Al2 Al 0.000 0.000 0.045
Te1 Te 0.500 0.500 0.750
```



# 8
Compound: Al2TcTe
Source: Alexandria via LeMat-Bulk
Functional: PBE
Structure: relaxed

## Properties
The total energy comes out at -0.1922 hartree per atom. The density comes out at 6.34 g cm⁻³.

Cell and atoms, written as CIF:
```
data_Al2TcTe
_chemical_formula_sum 'Al2 Tc1 Te1'
_symmetry_space_group_name_H-M 'P 1'
_symmetry_Int_Tables_number 1
_cell_length_a 4.207
_cell_length_b 3.492
_cell_length_c 5.283
_cell_angle_alpha 70.56
_cell_angle_beta 90.00
_cell_angle_gamma 90.00
loop_
_symmetry_equiv_pos_as_xyz
'x,y,z'
loop_
_atom_site_label
_atom_site_type_symbol
_atom_site_fract_x
_atom_site_fract_y
_atom_site_fract_z
Te1 Te 0.500 0.718 0.689
Al1 Al 0.500 0.452 0.221
Al2 Al 0.000 0.021 0.084
Tc1 Tc 0.000 0.309 0.507
```